Record 1
Computed, not measured: a relaxed Sr2CdBiP crystal at the PBE level of DFT.

Unit cell a=4.595 b=8.103 c=9.432 alpha=105.93 beta=90.00 gamma=90.00
Sites, in units of the cell vectors:
Bi 0.750 0.286 0.693
Bi 0.250 0.714 0.307
Sr 0.250 0.209 0.969
Sr 0.750 0.791 0.031
Sr 0.250 0.175 0.388
Sr 0.750 0.825 0.612
Cd 0.750 0.485 0.267
Cd 0.250 0.515 0.733
P 0.750 0.165 0.174
P 0.250 0.835 0.826

## Properties
Energy above the most stable polymorph in this dataset in eV/atom: 0.000
E in eV for the cell shown: -35.0
Magnetic moment in Bohr magnetons per cell: 0.000
Formation energy from the elements in kJ/mol of formula units: -379

***

Record 2
Computed, not measured: a relaxed Ca2Nd3Hg2 crystal at the PBE level of DFT.

Unit cell a=4.009 b=7.000 c=9.481 alpha=113.35 beta=90.00 gamma=106.64
Sites, in units of the cell vectors:
Nd 0.500 0.000 0.000
Nd 0.617 0.233 0.447
Nd 0.383 0.767 0.553
Ca 0.853 0.707 0.189
Ca 0.147 0.293 0.811
Hg 0.825 0.649 0.780
Hg 0.175 0.351 0.220

## Properties
E in eV for the cell shown: -20.6
Magnetic moment in Bohr magnetons per cell: 0.001
Formation energy from the elements in kJ/mol of formula units: -161

***

Record 3
Computed, not measured: a relaxed K3HfPb crystal at the PBE level of DFT.

Unit cell a=6.669 b=6.669 c=6.669 alpha=90.00 beta=90.00 gamma=90.00
Each line ends with the local moment (μB).
Sites, in units of the cell vectors:
Pb 0.000 0.000 0.000  -0.43
K 0.000 0.500 0.000  -0.01
K 0.000 0.000 0.500  -0.02
K 0.500 0.000 0.000  -0.02
Hf 0.500 0.500 0.500  1.28

## Properties
Energy above the most stable polymorph in this dataset in eV/atom: 0.000
E in eV for the cell shown: -11.2
Magnetic moment in Bohr magnetons per cell: 1.000
Formation energy from the elements in kJ/mol of formula units: 552

***

Record 4
Computed, not measured: a relaxed TmAl2GaS6 crystal at the PBE level of DFT.

Unit cell a=6.784 b=8.506 c=8.506 alpha=86.57 beta=75.08 gamma=75.08
Sites, in units of the cell vectors:
S 0.001 0.711 0.549
S 0.924 0.373 0.878
S 0.842 0.051 0.188
S 0.499 0.451 0.289
S 0.076 0.627 0.122
S 0.424 0.878 0.373
S 0.158 0.949 0.812
S 0.658 0.812 0.949
S 0.342 0.188 0.051
S 0.999 0.289 0.451
S 0.501 0.549 0.711
S 0.576 0.122 0.627
Al 0.292 0.745 0.604
Al 0.792 0.604 0.745
Al 0.708 0.255 0.396
Al 0.208 0.396 0.255
Ga 0.750 0.799 0.201
Ga 0.250 0.201 0.799
Tm 0.750 0.119 0.881
Tm 0.250 0.881 0.119

## Properties
E in eV for the cell shown: -101.8
Raw formation energy in meV/atom: -1115
Magnetic moment in Bohr magnetons per cell: 0.000

***

Q: Which formula does entry 2 have?
A: Ca2Nd3Hg2

***

Q: Number 4 is which compound?
A: TmAl2GaS6

***

Q: Which of these has the highest E?
A: K3HfPb

***

Q: E of number 1 (Sr2CdBiP)?
A: -35.0 eV for the cell shown